# Ni2MoAsPt

Ni2MoAsPt at its PBEsol-relaxed geometry (SCAN, the Alexandria database).

a = 4.352 Å, b = 4.352 Å, c = 4.664 Å
α = 90.00°, β = 90.00°, γ = 90.00°
Element x y z (fractional)
As (0.000, 0.000, 0.500)
Pt (0.500, 0.500, 0.500)
Ni (0.500, 0.000, 0.000)
Ni (0.000, 0.500, 0.000)
Mo (0.000, 0.000, 0.000)

For the energy of formation, the calculation gives 1346.8 meV per atom. Its density of states at the Fermi level is 0.823 states/eV per atom. The value obtained for the total moment is 0.00 Bohr magnetons per cell.